(w)
First-principles (GGA-PBE) data for an optimized crystal structure of PmPrEr, as listed in the Alexandria database.

Calculated values
Total magnetization: 0.00 μB per atom
Crystal system: tetragonal
Space-group type: I4mm (107)
D(E_F): 4.57 states/eV/f.u.

Cell: 3.633 3.633 15.344 Å, 90.00 90.00 90.00°
Atoms (fractional coordinates):
Pm 0.000 0.000 0.000
Pm 0.500 0.500 0.500
Pr 0.000 0.000 0.329
Pr 0.500 0.500 0.829
Er 0.000 0.000 0.663
Er 0.500 0.500 0.163



(x)
First-principles (GGA-PBE) data for an optimized crystal structure of PmPrEr, as listed in the Alexandria database.

Calculated values
Total magnetization: 0.00 μB per atom
Crystal system: tetragonal
Space-group type: P4/nmm (129)
D(E_F): 3.68 states/eV/f.u.

Cell: 4.914 4.914 8.761 Å, 90.00 90.00 90.00°
Atoms (fractional coordinates):
Pm 0.250 0.250 0.195
Pm 0.750 0.750 0.805
Pr 0.250 0.750 0.500
Pr 0.750 0.250 0.500
Er 0.250 0.250 0.801
Er 0.750 0.750 0.199



(y)
First-principles (GGA-PBE) data for an optimized crystal structure of PmPrEr, as listed in the Alexandria database.

Calculated values
Total magnetization: 0.00 μB per atom
Crystal system: hexagonal
Space-group type: P-6m2 (187)
D(E_F): 4.23 states/eV/f.u.

Cell: 5.739 5.739 3.526 Å, 90.00 90.00 120.00°
Atoms (fractional coordinates):
Pm 0.000 0.000 0.000
Pr 0.667 0.333 0.500
Er 0.333 0.667 0.000



(z)
First-principles (GGA-PBE) data for an optimized crystal structure of PmPrEr, as listed in the Alexandria database.

Calculated values
Total magnetization: 0.00 μB per atom
Crystal system: triclinic
Space-group type: P-1 (2)
D(E_F): 4.01 states/eV/f.u.

Cell: 3.617 6.488 9.383 Å, 69.81 86.70 80.00°
Atoms (fractional coordinates):
Pm 0.001 0.362 0.278
Pm 0.999 0.638 0.722
Pr 0.497 0.817 0.366
Pr 0.503 0.183 0.634
Er 0.345 0.774 0.000
Er 0.655 0.226 0.000



Short version: (w), (y), (z), (x), most stable first.



(w)
First-principles (GGA-PBE) data for an optimized crystal structure of Pm2Pr3Er6, as listed in the Alexandria database.

Calculated values
Total magnetization: 0.00 μB per atom
Crystal system: monoclinic
Space-group type: C2/m (12)
D(E_F): 15.88 states/eV/f.u.

Cell: 6.188 6.188 11.651 Å, 95.10 95.10 120.09°
Atoms (fractional coordinates):
Pm 0.167 0.833 0.000
Pm 0.833 0.167 0.000
Pr 0.000 0.000 0.500
Pr 0.336 0.664 0.500
Pr 0.664 0.336 0.500
Er 0.084 0.417 0.752
Er 0.250 0.250 0.248
Er 0.417 0.084 0.752
Er 0.583 0.916 0.248
Er 0.750 0.750 0.752
Er 0.916 0.583 0.248



(x)
First-principles (GGA-PBE) data for an optimized crystal structure of Pm2Pr3Er6, as listed in the Alexandria database.

Calculated values
Total magnetization: 0.00 μB per atom
Crystal system: tetragonal
Space-group type: I4/mmm (139)
D(E_F): 16.36 states/eV/f.u.

Cell: 16.916 16.916 16.916 Å, 163.76 163.76 23.05°
Atoms (fractional coordinates):
Pm 0.046 0.046 0.000
Pm 0.954 0.954 0.000
Pr 0.295 0.295 0.000
Pr 0.500 0.500 0.000
Pr 0.705 0.705 0.000
Er 0.120 0.620 0.500
Er 0.191 0.191 0.000
Er 0.380 0.880 0.500
Er 0.620 0.120 0.500
Er 0.809 0.809 0.000
Er 0.880 0.380 0.500



Short version: (w), (x), most stable first.



(w)
First-principles (GGA-PBE) data for an optimized crystal structure of Pm4Pr2Er3, as listed in the Alexandria database.

Calculated values
Total magnetization: 0.00 μB per atom
Crystal system: monoclinic
Space-group type: C2/m (12)
D(E_F): 16.55 states/eV/f.u.

Cell: 6.724 6.724 10.488 Å, 121.00 121.00 50.34°
Atoms (fractional coordinates):
Pm 0.056 0.056 0.387
Pm 0.281 0.281 0.940
Pm 0.719 0.719 0.060
Pm 0.944 0.944 0.613
Pr 0.391 0.391 0.718
Pr 0.609 0.609 0.282
Er 0.000 0.000 0.000
Er 0.334 0.334 0.332
Er 0.666 0.666 0.668



(x)
First-principles (GGA-PBE) data for an optimized crystal structure of Pm4Pr2Er3, as listed in the Alexandria database.

Calculated values
Total magnetization: 0.00 μB per atom
Crystal system: trigonal
Space-group type: P3m1 (156)
D(E_F): 16.39 states/eV/f.u.

Cell: 3.629 3.629 26.893 Å, 90.00 90.00 120.00°
Atoms (fractional coordinates):
Pm 0.000 0.000 0.000
Pm 0.000 0.000 0.211
Pm 0.333 0.667 0.323
Pm 0.333 0.667 0.537
Pr 0.000 0.000 0.651
Pr 0.000 0.000 0.866
Er 0.000 0.000 0.430
Er 0.333 0.667 0.104
Er 0.333 0.667 0.760



Short version: (x), (w), most stable first.



(w)
First-principles (GGA-PBE) data for an optimized crystal structure of PmPr12Er6, as listed in the Alexandria database.

Calculated values
Total magnetization: 0.00 μB per atom
Crystal system: cubic
Space-group type: Im-3 (204)
D(E_F): 27.98 states/eV/f.u.

Cell: 9.509 9.509 9.509 Å, 109.47 109.47 109.47°
Atoms (fractional coordinates):
Pm 0.000 0.000 0.000
Pr 0.067 0.264 0.803
Pr 0.197 0.462 0.264
Pr 0.197 0.933 0.736
Pr 0.264 0.197 0.462
Pr 0.264 0.803 0.067
Pr 0.462 0.264 0.197
Pr 0.538 0.736 0.803
Pr 0.736 0.197 0.933
Pr 0.736 0.803 0.538
Pr 0.803 0.067 0.264
Pr 0.803 0.538 0.736
Pr 0.933 0.736 0.197
Er 0.142 0.500 0.642
Er 0.358 0.858 0.500
Er 0.500 0.358 0.858
Er 0.500 0.642 0.142
Er 0.642 0.142 0.500
Er 0.858 0.500 0.358



(x)
First-principles (GGA-PBE) data for an optimized crystal structure of PmPr12Er6, as listed in the Alexandria database.

Calculated values
Total magnetization: 0.00 μB per atom
Crystal system: trigonal
Space-group type: R-3 (148)
D(E_F): 26.50 states/eV/f.u.

Cell: 9.643 9.643 9.643 Å, 110.89 110.89 110.89°
Atoms (fractional coordinates):
Pm 0.000 0.000 0.000
Pr 0.058 0.580 0.372
Pr 0.105 0.157 0.737
Pr 0.157 0.737 0.105
Pr 0.263 0.895 0.843
Pr 0.372 0.058 0.580
Pr 0.420 0.628 0.942
Pr 0.580 0.372 0.058
Pr 0.628 0.942 0.420
Pr 0.737 0.105 0.157
Pr 0.843 0.263 0.895
Pr 0.895 0.843 0.263
Pr 0.942 0.420 0.628
Er 0.216 0.319 0.472
Er 0.319 0.472 0.216
Er 0.472 0.216 0.319
Er 0.528 0.784 0.681
Er 0.681 0.528 0.784
Er 0.784 0.681 0.528



Short version: (x), (w), most stable first.



(w)
First-principles (GGA-PBE) data for an optimized crystal structure of Pm4Pr8Er3, as listed in the Alexandria database.

Calculated values
Total magnetization: 0.00 μB per atom
Crystal system: monoclinic
Space-group type: C2/m (12)
D(E_F): 23.95 states/eV/f.u.

Cell: 9.364 9.364 6.929 Å, 111.29 111.29 82.61°
Atoms (fractional coordinates):
Pm 0.000 0.000 0.000
Pm 0.000 0.000 0.500
Pm 0.000 0.500 0.000
Pm 0.500 0.000 0.000
Pr 0.247 0.247 0.290
Pr 0.248 0.752 0.500
Pr 0.298 0.298 0.827
Pr 0.298 0.702 0.000
Pr 0.702 0.298 0.000
Pr 0.702 0.702 0.173
Pr 0.752 0.248 0.500
Pr 0.753 0.753 0.710
Er 0.000 0.500 0.500
Er 0.500 0.000 0.500
Er 0.500 0.500 0.500



(x)
First-principles (GGA-PBE) data for an optimized crystal structure of Pm4Pr8Er3, as listed in the Alexandria database.

Calculated values
Total magnetization: 0.00 μB per atom
Crystal system: trigonal
Space-group type: R-3m (166)
D(E_F): 24.05 states/eV/f.u.

Cell: 12.770 12.770 12.770 Å, 32.28 32.28 32.28°
Atoms (fractional coordinates):
Pm 0.000 0.000 0.000
Pm 0.164 0.164 0.164
Pm 0.500 0.500 0.500
Pm 0.836 0.836 0.836
Pr 0.250 0.250 0.747
Pr 0.250 0.747 0.250
Pr 0.253 0.750 0.750
Pr 0.255 0.255 0.255
Pr 0.745 0.745 0.745
Pr 0.747 0.250 0.250
Pr 0.750 0.253 0.750
Pr 0.750 0.750 0.253
Er 0.000 0.500 0.500
Er 0.500 0.000 0.500
Er 0.500 0.500 0.000



Short version: (x), (w), most stable first.



(w)
First-principles (GGA-PBE) data for an optimized crystal structure of PmPr2Er, as listed in the Alexandria database.

Calculated values
Total magnetization: 0.00 μB per atom
Crystal system: trigonal
Space-group type: R3m (160)
D(E_F): 5.84 states/eV/f.u.

Cell: 3.657 3.657 35.564 Å, 90.00 90.00 120.00°
Atoms (fractional coordinates):
Pm 0.000 0.000 0.000
Pm 0.333 0.667 0.667
Pm 0.667 0.333 0.333
Pr 0.000 0.000 0.582
Pr 0.000 0.000 0.752
Pr 0.333 0.667 0.249
Pr 0.333 0.667 0.419
Pr 0.667 0.333 0.085
Pr 0.667 0.333 0.916
Er 0.000 0.000 0.168
Er 0.333 0.667 0.834
Er 0.667 0.333 0.501



(x)
First-principles (GGA-PBE) data for an optimized crystal structure of PmPr2Er, as listed in the Alexandria database.

Calculated values
Total magnetization: 0.00 μB per atom
Crystal system: trigonal
Space-group type: R-3m (166)
D(E_F): 4.71 states/eV/f.u.

Cell: 3.653 3.653 35.485 Å, 90.00 90.00 120.00°
Atoms (fractional coordinates):
Pm 0.000 0.000 0.000
Pm 0.333 0.667 0.667
Pm 0.667 0.333 0.333
Pr 0.000 0.000 0.249
Pr 0.000 0.000 0.751
Pr 0.333 0.667 0.418
Pr 0.333 0.667 0.915
Pr 0.667 0.333 0.085
Pr 0.667 0.333 0.582
Er 0.000 0.000 0.500
Er 0.333 0.667 0.167
Er 0.667 0.333 0.833



(y)
First-principles (GGA-PBE) data for an optimized crystal structure of PmPr2Er, as listed in the Alexandria database.

Calculated values
Total magnetization: 0.00 μB per atom
Crystal system: cubic
Space-group type: Fm-3m (225)
D(E_F): 8.46 states/eV/f.u.

Cell: 8.196 8.196 8.196 Å, 90.00 90.00 90.00°
Atoms (fractional coordinates):
Pm 0.000 0.000 0.000
Pm 0.000 0.500 0.500
Pm 0.500 0.000 0.500
Pm 0.500 0.500 0.000
Pr 0.250 0.250 0.250
Pr 0.250 0.250 0.750
Pr 0.250 0.750 0.250
Pr 0.250 0.750 0.750
Pr 0.750 0.250 0.250
Pr 0.750 0.250 0.750
Pr 0.750 0.750 0.250
Pr 0.750 0.750 0.750
Er 0.000 0.000 0.500
Er 0.000 0.500 0.000
Er 0.500 0.000 0.000
Er 0.500 0.500 0.500



Short version: (x), (w), (y), most stable first.